Compound: CdCu2Te
Source: Alexandria
Functional: PBE-GGA
Structure: optimized geometry

## Properties
- E (eV per cell) = -23.51
- crystal system = monoclinic
- ΔE to the lowest computed polymorph (eV per atom) = 0.020

a = 7.7173 Å, b = 3.8110 Å, c = 5.7644 Å
α = 90.00°, β = 105.70°, γ = 90.00°
Space group Cm (No. 8)
Asymmetric unit:
Cd 0.0000 0.0000 0.0000 (multiplicity 2)
Cu 0.0280 0.5000 0.6303 (multiplicity 2)
Cu 0.2467 0.0000 0.7418 (multiplicity 2)
Te 0.2834 0.5000 0.3987 (multiplicity 2)